Record 1
Na5B8C2 | PBE-GGA | optimized geometry

Structure (CIF):
```
data_Na5B8C2
_cell_length_a 7.885
_cell_length_b 7.763
_cell_length_c 10.456
_cell_angle_alpha 122.31
_cell_angle_beta 122.36
_cell_angle_gamma 37.64
_space_group_name_H-M_alt 'P 1'
_space_group_IT_number 1
_space_group_name_Hall 'P 1'
loop_
_atom_site_label
_atom_site_type_symbol
_atom_site_fract_x
_atom_site_fract_y
_atom_site_fract_z
Na1 Na 0.996 0.001 0.998
Na2 Na 0.797 0.803 0.501
Na3 Na 0.204 0.198 0.001
Na4 Na 0.003 0.997 0.499
Na5 Na 0.400 0.400 0.000
Na6 Na 0.198 0.201 0.501
Na7 Na 0.596 0.602 0.999
Na8 Na 0.400 0.400 0.500
Na9 Na 0.804 0.799 0.002
Na10 Na 0.602 0.599 0.499
B1 B 0.221 0.573 0.750
B2 B 0.976 0.631 0.249
B3 B 0.003 0.377 0.250
B4 B 0.175 0.833 0.750
B5 B 0.442 0.758 0.749
B6 B 0.234 0.579 0.250
B7 B 0.370 0.042 0.750
B8 B 0.358 0.042 0.251
B9 B 0.430 0.758 0.250
B10 B 0.566 0.221 0.750
B11 B 0.824 0.169 0.751
B12 B 0.579 0.227 0.250
B13 B 0.625 0.967 0.250
B14 B 0.797 0.423 0.750
B15 B 0.849 0.162 0.250
B16 B 0.951 0.638 0.750
C1 C 0.170 0.835 0.250
C2 C 0.630 0.965 0.750
C3 C 0.042 0.362 0.750
C4 C 0.758 0.438 0.250
```

Energy (eV/cell): -150.9
Energy of formation from the pure elements (kJ/mol of atoms): 19
Volume (Å³ per cell): 322
Relative energy among the computed polymorphs (meV/atom): 29.6
M_tot (μB/f.u.): 0.00

Record 2
Na2B3C | PBE-GGA | optimized geometry

Structure (CIF):
```
data_Na2B3C
_cell_length_a 7.711
_cell_length_b 7.713
_cell_length_c 10.388
_cell_angle_alpha 121.86
_cell_angle_beta 121.85
_cell_angle_gamma 38.53
_space_group_name_H-M_alt 'P 1'
_space_group_IT_number 1
_space_group_name_Hall 'P 1'
loop_
_atom_site_label
_atom_site_type_symbol
_atom_site_fract_x
_atom_site_fract_y
_atom_site_fract_z
Na1 Na 0.001 0.000 0.000
Na2 Na 0.801 0.800 0.501
Na3 Na 0.200 0.201 0.002
Na4 Na 0.998 0.999 0.496
Na5 Na 0.400 0.399 0.999
Na6 Na 0.201 0.200 0.500
Na7 Na 0.601 0.598 0.999
Na8 Na 0.401 0.399 0.500
Na9 Na 0.802 0.799 0.001
Na10 Na 0.602 0.599 0.501
B1 B 0.241 0.562 0.751
B2 B 0.981 0.617 0.249
B3 B 0.995 0.390 0.250
B4 B 0.142 0.864 0.750
B5 B 0.444 0.756 0.749
B6 B 0.241 0.570 0.250
B7 B 0.336 0.058 0.749
B8 B 0.638 0.959 0.751
B9 B 0.384 0.018 0.250
B10 B 0.430 0.759 0.250
B11 B 0.581 0.231 0.751
B12 B 0.610 0.005 0.250
B13 B 0.777 0.423 0.749
B14 B 0.837 0.163 0.250
B15 B 0.970 0.620 0.750
C1 C 0.173 0.827 0.250
C2 C 0.837 0.169 0.750
C3 C 0.578 0.233 0.251
C4 C 0.031 0.363 0.749
C5 C 0.768 0.422 0.250
```

Energy (eV/cell): -154.2
Energy of formation from the pure elements (kJ/mol of atoms): 17
Volume (Å³ per cell): 319
Relative energy among the computed polymorphs (meV/atom): 41.6
M_tot (μB/f.u.): 0.00